First-principles (PBE) data for a geometry-optimized Er5Al2Bi2 structure, as listed in the Alexandria database.

The structure belongs to space group Cmce (No. 64); the cell edges are 15.596, 7.986 and 7.991 Å and the angles 90.00°, 90.00° and 90.00°. The distinct sites, in fractional coordinates, are Er at (0.000, 0.000, 0.000), Er at (0.128, 0.171, 0.330), Al at (0.000, 0.123, 0.622) and Bi at (0.208, 0.000, 0.000).


First-principles (PBE) data for a geometry-optimized Er8AlBi2 structure, as listed in the Alexandria database.

The structure belongs to space group C2/m (No. 12); the cell edges are 19.141, 5.093 and 6.750 Å and the angles 90.00°, 102.90° and 90.00°. The distinct sites, in fractional coordinates, are Er at (0.013, 0.000, 0.267), Er at (0.089, 0.500, 0.980), Er at (0.154, 0.500, 0.528), Er at (0.214, 0.000, 0.843), Al at (0.000, 0.500, 0.500) and Bi at (0.178, 0.000, 0.281).


Number 1: energy of formation -0.580 eV/atom, magnetic moment 0.00 μB per cell. Number 2: energy of formation -0.256 eV/atom, magnetic moment 0.07 μB per cell.